P) ## LaPr2Zn2 (PBE)

Data for a relaxed LaPr2Zn2 crystal.

The density of states at the Fermi level comes out at 11.738 states/eV per cell.

The structure belongs to space group P2_1/m (No. 11); the cell edges are 3.782, 5.392 and 13.952 Å and the angles 90.00°, 97.81° and 90.00°. Symmetry generates all atoms from La at (0.142, 0.250, 0.282), Pr at (0.046, 0.750, 0.094), Pr at (0.231, 0.750, 0.463), Zn at (0.360, 0.250, 0.721) and Zn at (0.453, 0.750, 0.906).

Q) ## LaPr2Zn2 (PBE)

Data for a relaxed LaPr2Zn2 crystal.

The density of states at the Fermi level comes out at 10.311 states/eV per cell.

The structure belongs to space group P2_1/m (No. 11); the cell edges are 4.732, 4.497 and 13.685 Å and the angles 90.00°, 99.65° and 90.00°. Symmetry generates all atoms from La at (0.135, 0.250, 0.269), Pr at (0.237, 0.750, 0.471), Pr at (0.447, 0.250, 0.892), Zn at (0.023, 0.250, 0.045) and Zn at (0.329, 0.250, 0.664).

P) (64 meV/atom below the next structure)